[1]
Material: Ca5InBi4
Method: DFT, PBE
State: optimized geometry

Summary:
Offset from the most stable computed form in meV per atom: 0.0
Total moment in μB per atom: 0.000

Unit cell a=4.7775 b=10.3833 c=13.2096 alpha=90.00 beta=90.00 gamma=90.00
Space group Immm (No. 71)
Unique sites:
1 Ca 0.0000 0.0000 0.0000 (multiplicity 2)
2 Ca 0.0000 0.3191 0.1509 (multiplicity 8)
3 In 0.0000 0.0000 0.5000 (multiplicity 2)
4 Bi 0.0000 0.0000 0.2538 (multiplicity 4)
5 Bi 0.0000 0.2946 0.5000 (multiplicity 4)

[2]
Material: Ca8In2Bi
Method: DFT, PBE
State: optimized geometry

Summary:
Offset from the most stable computed form in meV per atom: 0.0
Total moment in μB per atom: 0.000

Unit cell a=19.1738 b=5.4307 c=7.7079 alpha=90.00 beta=110.44 gamma=90.00
Space group C2/m (No. 12)
Unique sites:
1 Ca 0.0249 0.0000 0.2692 (multiplicity 4)
2 Ca 0.0982 0.5000 0.9524 (multiplicity 4)
3 Ca 0.1675 0.5000 0.4507 (multiplicity 4)
4 Ca 0.2015 0.0000 0.7974 (multiplicity 4)
5 In 0.1806 0.0000 0.1935 (multiplicity 4)
6 Bi 0.0000 0.5000 0.5000 (multiplicity 2)

[3]
Material: Ca2InBi4
Method: DFT, PBE
State: optimized geometry

Summary:
Offset from the most stable computed form in meV per atom: 141.3
Total moment in μB per atom: 0.000

Unit cell a=7.5052 b=7.5052 c=8.9432 alpha=90.00 beta=90.00 gamma=90.00
Space group I4/mmm (No. 139)
Unique sites:
1 Ca 0.0000 0.5000 0.2500 (multiplicity 4)
2 In 0.0000 0.0000 0.0000 (multiplicity 2)
3 Bi 0.2161 0.2161 0.5000 (multiplicity 8)

[4]
Material: Ca3InBi4
Method: DFT, PBE
State: optimized geometry

Summary:
Total DFT energy (no corrections) in eV per atom: -3.4561
Total moment in μB per atom: 0.000

Unit cell a=4.5538 b=4.9727 c=12.7511 alpha=82.59 beta=80.14 gamma=89.67
Space group P-1 (No. 2)
Unique sites:
1 Ca 0.0000 0.0000 0.0000 (multiplicity 1)
2 Ca 0.3269 0.6400 0.3497 (multiplicity 2)
3 In 0.5000 0.5000 0.0000 (multiplicity 1)
4 Bi 0.0794 0.5688 0.8238 (multiplicity 2)
5 Bi 0.2031 0.8934 0.5928 (multiplicity 2)

[5]
Material: CaIn2Bi
Method: DFT, PBE
State: optimized geometry

Summary:
Total DFT energy (no corrections) in eV per atom: -2.7447
Total moment in μB per atom: 0.000

Unit cell a=3.6284 b=3.6284 c=35.4361 alpha=90.00 beta=90.00 gamma=120.00
Space group R-3m (No. 166, hexagonal axes)
Unique sites:
1 Ca 0.0000 0.0000 0.0000 (multiplicity 3)
2 In 0.0000 0.0000 0.0920 (multiplicity 6)
3 Bi 0.0000 0.0000 0.5000 (multiplicity 3)

[6]
Material: CaIn5Bi2
Method: DFT, PBE
State: optimized geometry

Summary:
Total DFT energy (no corrections) in eV per atom: -3.1011
Total moment in μB per atom: 0.000

Unit cell a=7.0068 b=13.8978 c=4.7543 alpha=90.00 beta=90.00 gamma=90.00
Space group Pbam (No. 55)
Unique sites:
1 Ca 0.0000 0.0000 0.0000 (multiplicity 2)
2 In 0.0000 0.5000 0.0000 (multiplicity 2)
3 In 0.0069 0.2522 0.0000 (multiplicity 4)
4 In 0.2414 0.3692 0.5000 (multiplicity 4)
5 Bi 0.2463 0.6241 0.5000 (multiplicity 4)

[7]
Material: CaInBi3
Method: DFT, PBE
State: optimized geometry

Summary:
Offset from the most stable computed form in meV per atom: 632.2
Total moment in μB per atom: 0.000

Unit cell a=5.8761 b=5.8761 c=5.8761 alpha=90.00 beta=90.00 gamma=90.00
Space group Pm-3m (No. 221)
Unique sites:
1 Ca 0.0000 0.0000 0.0000 (multiplicity 1)
2 In 0.5000 0.5000 0.5000 (multiplicity 1)
3 Bi 0.0000 0.0000 0.5000 (multiplicity 3)

[8]
Material: CaIn2Bi2
Method: DFT, PBE
State: optimized geometry

Summary:
Offset from the most stable computed form in meV per atom: 65.2
Total moment in μB per atom: 0.000

Unit cell a=4.3977 b=4.3977 c=16.6907 alpha=90.00 beta=90.00 gamma=90.00
Space group I4/mmm (No. 139)
Unique sites:
1 Ca 0.0000 0.0000 0.0000 (multiplicity 2)
2 In 0.0000 0.5000 0.2500 (multiplicity 4)
3 Bi 0.0000 0.0000 0.4070 (multiplicity 4)

[9]
Material: CaIn2Bi
Method: DFT, PBE
State: optimized geometry

Summary:
Total DFT energy (no corrections) in eV per atom: -3.0947
Total moment in μB per atom: 0.000

Unit cell a=8.9164 b=8.9164 c=6.3752 alpha=90.00 beta=90.00 gamma=90.00
Space group I-42d (No. 122)
Unique sites:
1 Ca 0.0000 0.0000 0.0000 (multiplicity 4)
2 In 0.2248 0.2500 0.6250 (multiplicity 8)
3 Bi 0.0000 0.0000 0.5000 (multiplicity 4)

[10]
Material: Ca2In4Bi3
Method: DFT, PBE
State: optimized geometry

Summary:
Total DFT energy (no corrections) in eV per atom: -3.2449
Total moment in μB per atom: 0.000

Unit cell a=11.9494 b=4.3988 c=11.1255 alpha=90.00 beta=115.14 gamma=90.00
Space group C2/m (No. 12)
Unique sites:
1 Ca 0.1615 0.0000 0.2243 (multiplicity 4)
2 In 0.0288 0.5000 0.6842 (multiplicity 4)
3 In 0.1734 0.0000 0.9013 (multiplicity 4)
4 Bi 0.0000 0.5000 0.0000 (multiplicity 2)
5 Bi 0.1553 0.0000 0.5277 (multiplicity 4)

[11]
Material: CaInBi
Method: DFT, PBE
State: optimized geometry

Summary:
Offset from the most stable computed form in meV per atom: 18.8
Total moment in μB per atom: 0.000

Unit cell a=5.6961 b=9.8467 c=6.5988 alpha=90.00 beta=90.00 gamma=90.00
Space group Cmcm (No. 63)
Unique sites:
1 Ca 0.0000 0.1667 0.2500 (multiplicity 4)
2 In 0.0000 0.5000 0.0000 (multiplicity 4)
3 Bi 0.0000 0.1669 0.7500 (multiplicity 4)

[12]
Material: CaIn2Bi2
Method: DFT, PBE
State: optimized geometry

Summary:
Offset from the most stable computed form in meV per atom: 0.0
Total moment in μB per atom: 0.000

Unit cell a=4.6975 b=27.4195 c=4.6215 alpha=90.00 beta=90.00 gamma=90.00
Space group Cmcm (No. 63)
Unique sites:
1 Ca 0.0000 0.1537 0.2500 (multiplicity 4)
2 In 0.0000 0.0464 0.7500 (multiplicity 4)
3 In 0.0000 0.4523 0.7500 (multiplicity 4)
4 Bi 0.0000 0.2508 0.7500 (multiplicity 4)
5 Bi 0.0000 0.3632 0.2500 (multiplicity 4)